Material: La2Pr9Nd3
Method: DFT, PBE
State: optimized geometry

```
data_La2Pr9Nd3
_space_group_name_H-M_alt 'P 63/m'
_space_group_IT_number 176
_space_group_name_Hall '-P 6c'
_cell_length_a 9.3721
_cell_length_b 9.3721
_cell_length_c 13.7925
_cell_angle_alpha 90.00
_cell_angle_beta 90.00
_cell_angle_gamma 120.00
loop_
_atom_site_label
_atom_site_type_symbol
_atom_site_fract_x
_atom_site_fract_y
_atom_site_fract_z
La1 La 0.3333 0.6667 0.1365
Pr1 Pr 0.0818 0.4798 0.7500
Pr2 Pr 0.1244 0.7227 0.5384
Nd1 Nd 0.0810 0.2482 0.2500
```

DOS(E_F) ... 39.98 states/eV/cell
Formation energy from the elements ... 0.220 eV/atom
Size of the total moment ... 0.00 Bohr magnetons per cell
VASP energy ... -128.2 eV/cell

Material: EuMgSc2
Method: DFT, PBE
State: optimized geometry

```
data_EuMgSc2
_space_group_name_H-M_alt 'P 4/m m m'
_space_group_IT_number 123
_space_group_name_Hall '-P 4 2'
_cell_length_a 4.735
_cell_length_b 4.735
_cell_length_c 4.879
_cell_angle_alpha 90.00
_cell_angle_beta 90.00
_cell_angle_gamma 90.00
loop_
_atom_site_label
_atom_site_type_symbol
_atom_site_fract_x
_atom_site_fract_y
_atom_site_fract_z
Eu1 Eu 0.000 0.000 0.000
Mg1 Mg 0.500 0.500 0.000
Sc1 Sc 0.000 0.500 0.500
```

Offset from the most stable computed form ... 0.043 eV/atom
DOS(E_F) ... 6.55 states/eV/cell
Formation energy from the elements ... 0.139 eV/atom
Size of the total moment ... 8.07 Bohr magnetons per cell
VASP energy ... -24.0 eV/cell

Material: ZrRh3
Method: DFT, PBE
State: optimized geometry

```
data_ZrRh3
_space_group_name_H-M_alt 'I 4/m m m'
_space_group_IT_number 139
_space_group_name_Hall '-I 4 2'
_cell_length_a 3.985
_cell_length_b 3.985
_cell_length_c 15.809
_cell_angle_alpha 90.00
_cell_angle_beta 90.00
_cell_angle_gamma 90.00
loop_
_atom_site_label
_atom_site_type_symbol
_atom_site_fract_x
_atom_site_fract_y
_atom_site_fract_z
Zr1 Zr 0.000 0.000 0.122
Rh1 Rh 0.000 0.000 0.373
Rh2 Rh 0.000 0.500 0.000
Rh3 Rh 0.000 0.500 0.250
```

DOS(E_F) ... 17.86 states/eV/cell
Formation energy from the elements ... -0.624 eV/atom
Size of the total moment ... 0.00 Bohr magnetons per cell
VASP energy ... -132.4 eV/cell

Material: KCuBr
Method: DFT, PBE
State: optimized geometry

```
data_KCuBr
_space_group_name_H-M_alt 'F -4 3 m'
_space_group_IT_number 216
_space_group_name_Hall 'F -4 2 3'
_cell_length_a 7.546
_cell_length_b 7.546
_cell_length_c 7.546
_cell_angle_alpha 90.00
_cell_angle_beta 90.00
_cell_angle_gamma 90.00
loop_
_atom_site_label
_atom_site_type_symbol
_atom_site_fract_x
_atom_site_fract_y
_atom_site_fract_z
K1 K 0.000 0.000 0.000
Cu1 Cu 0.250 0.250 0.750
Br1 Br 0.250 0.250 0.250
```

Offset from the most stable computed form ... 0.264 eV/atom
E_form (uncorrected) ... -2 kJ/mol of formula units
DOS(E_F) ... 7.78 states/eV/cell
Size of the total moment ... 2.93 Bohr magnetons per cell
VASP energy ... -27.5 eV/cell

Material: Ce2TlPd6
Method: DFT, PBE
State: optimized geometry

```
data_Ce2TlPd6
_space_group_name_H-M_alt 'P -3 m 1'
_space_group_IT_number 164
_space_group_name_Hall '-P 3 2"'
_cell_length_a 5.7450
_cell_length_b 5.7450
_cell_length_c 6.4291
_cell_angle_alpha 90.00
_cell_angle_beta 90.00
_cell_angle_gamma 120.00
loop_
_atom_site_label
_atom_site_type_symbol
_atom_site_fract_x
_atom_site_fract_y
_atom_site_fract_z
Ce1 Ce 0.3333 0.6667 0.2290
Tl1 Tl 0.0000 0.0000 0.0000
Pd1 Pd 0.1736 0.3473 0.6709
```

DOS(E_F) ... 12.39 states/eV/cell
Formation energy from the elements ... -0.579 eV/atom
Size of the total moment ... 1.52 Bohr magnetons per cell
VASP energy ... -50.6 eV/cell

Material: Tb2MnP4Ir3
Method: DFT, PBE
State: optimized geometry

```
data_Tb2MnP4Ir3
_space_group_name_H-M_alt 'P -4 m 2'
_space_group_IT_number 115
_space_group_name_Hall 'P -4 -2'
_cell_length_a 4.141
_cell_length_b 4.141
_cell_length_c 9.355
_cell_angle_alpha 90.00
_cell_angle_beta 90.00
_cell_angle_gamma 90.00
loop_
_atom_site_label
_atom_site_type_symbol
_atom_site_fract_x
_atom_site_fract_y
_atom_site_fract_z
Tb1 Tb 0.000 0.500 0.242
Mn1 Mn 0.000 0.000 0.500
P1 P 0.000 0.000 0.000
P2 P 0.000 0.500 0.626
P3 P 0.500 0.500 0.000
Ir1 Ir 0.000 0.500 0.882
Ir2 Ir 0.500 0.500 0.500
```

DOS(E_F) ... 4.06 states/eV/cell
Formation energy from the elements ... -0.952 eV/atom
Size of the total moment ... 0.00 Bohr magnetons per cell
VASP energy ... -76.2 eV/cell